# 1
! PBE TcNi7Pt4, relaxed; values from VASP
! final energy	-5.995	eV/atom
! space group	No. 12
! calculated formation energy	255	meV/atom
&SYSTEM
  ibrav = 0, nat = 12, ntyp = 3
/
ATOMIC_SPECIES
Tc 98.00 Tc.upf
Ni 58.69 Ni.upf
Pt 195.08 Pt.upf
CELL_PARAMETERS angstrom
4.423 0.000 0.000
2.211 8.265 -0.753
2.211 -0.129 4.498
ATOMIC_POSITIONS crystal
Tc 0.000 0.000 0.000
Ni 0.805 0.914 0.476
Ni 0.195 0.086 0.524
Ni 0.034 0.615 0.317
Ni 0.966 0.385 0.683
Ni 0.345 0.525 0.784
Ni 0.500 0.000 0.000
Ni 0.655 0.475 0.216
Pt 0.639 0.231 0.490
Pt 0.361 0.769 0.510
Pt 0.708 0.698 0.886
Pt 0.292 0.302 0.114

---

# 2
! PBE TaTiRh5, relaxed; values from VASP
! final energy	-8.447	eV/atom
! space group	No. 123
! calculated formation energy	-375	meV/atom
&SYSTEM
  ibrav = 0, nat = 7, ntyp = 3
/
ATOMIC_SPECIES
Ta 180.95 Ta.upf
Ti 47.87 Ti.upf
Rh 102.91 Rh.upf
CELL_PARAMETERS angstrom
4.019 0.000 0.000
0.000 4.019 0.000
0.000 0.000 6.791
ATOMIC_POSITIONS crystal
Ta 0.000 0.000 0.500
Ti 0.500 0.500 0.000
Rh 0.000 0.500 0.775
Rh 0.000 0.500 0.225
Rh 0.500 0.000 0.775
Rh 0.500 0.000 0.225
Rh 0.500 0.500 0.500

---

# 3
! PBE NbCo2IBr, relaxed; values from VASP
! final energy	-4.437	eV/atom
! space group	No. 123
! E_form (uncorrected)	102.7	kJ per mole of atoms
&SYSTEM
  ibrav = 0, nat = 5, ntyp = 4
/
ATOMIC_SPECIES
I 126.90 I.upf
Nb 92.91 Nb.upf
Co 58.93 Co.upf
Br 79.90 Br.upf
CELL_PARAMETERS angstrom
4.991 0.000 0.000
0.000 4.939 0.000
0.000 0.000 4.991
ATOMIC_POSITIONS crystal
I 0.500 0.500 0.500
Nb 0.000 0.000 0.000
Co 0.000 0.000 0.500
Co 0.500 0.000 0.000
Br 0.000 0.500 0.000